[1]
Material: TaNb2Ir4
Method: DFT, PBE-GGA
State: relaxed

Cell and atoms, written as CIF:
```
data_TaNb2Ir4
_space_group_name_H-M_alt 'P 1'
_space_group_IT_number 1
_cell_length_a 6.699
_cell_length_b 6.699
_cell_length_c 5.188
_cell_angle_alpha 90.00
_cell_angle_beta 90.00
_cell_angle_gamma 90.00
loop_
_space_group_symop_operation_xyz
'x,y,z'
loop_
_atom_site_label
_atom_site_fract_x
_atom_site_fract_y
_atom_site_fract_z
Ta1 0.000 0.000 0.000
Ta2 0.500 0.500 0.500
Nb1 0.000 0.000 0.500
Nb2 0.000 0.500 0.250
Nb3 0.500 0.000 0.750
Nb4 0.500 0.500 0.000
Ir1 0.203 0.297 0.750
Ir2 0.203 0.703 0.750
Ir3 0.297 0.203 0.250
Ir4 0.297 0.797 0.250
Ir5 0.703 0.203 0.250
Ir6 0.703 0.797 0.250
Ir7 0.797 0.297 0.750
Ir8 0.797 0.703 0.750
```

Magnetization in μB per formula unit: 0.00
Total energy in eV for the cell shown: -139.8
Symmetry: I-4m2, No. 119

[2]
Material: CsK3Au
Method: DFT, PBE-GGA
State: relaxed

Cell and atoms, written as CIF:
```
data_CsK3Au
_space_group_name_H-M_alt 'P 1'
_space_group_IT_number 1
_cell_length_a 7.979
_cell_length_b 7.979
_cell_length_c 7.979
_cell_angle_alpha 90.00
_cell_angle_beta 90.00
_cell_angle_gamma 90.00
loop_
_space_group_symop_operation_xyz
'x,y,z'
loop_
_atom_site_label
_atom_site_fract_x
_atom_site_fract_y
_atom_site_fract_z
Cs1 0.000 0.000 0.000
K1 0.000 0.000 0.500
K2 0.000 0.500 0.000
K3 0.500 0.000 0.000
Au1 0.500 0.500 0.500
```

Magnetization in μB per formula unit: 0.00
Symmetry: Pm-3m, No. 221
Energy above the most stable polymorph in this dataset in meV per atom: 695